Record 1
Below is crystalline PmSc2Ag3S6 at its relaxed geometry, with properties calculated at the GGA-PBE level.

Unit cell a=3.9200 b=9.3556 c=7.9551 alpha=107.47 beta=104.26 gamma=90.00
Closest atoms and distances in Å follow each position.
Positions (direct):
Pm 0.5000 0.0000 0.0000  6 S 2.80-2.83
Sc 0.8301 0.6593 0.6602  6 S 2.55-2.68
Sc 0.1699 0.3407 0.3398  6 S 2.55-2.68
Ag 0.5000 0.5000 0.0000  2 S 2.42
Ag 0.8278 0.0690 0.6556  2 S 2.51-2.52
Ag 0.1722 0.9310 0.3444  2 S 2.51-2.52
S 0.3107 0.8430 0.6214  1 Ag 2.52, 2 Sc 2.68
S 0.6598 0.5147 0.3195  1 Ag 2.42, 3 Sc 2.55-2.58
S 0.6893 0.1570 0.3786  1 Ag 2.52, 2 Sc 2.68
S 0.9948 0.2111 0.9896  1 Ag 2.51, 1 Sc 2.59, 2 Pm 2.80
S 0.0052 0.7889 0.0104  1 Ag 2.51, 1 Sc 2.59, 2 Pm 2.80
S 0.3402 0.4853 0.6805  1 Ag 2.42, 3 Sc 2.55-2.58

Calculated values
- Uncorrected energy: -5.434 eV/atom
- Volume: 22.404 A^3/atom
- Formation energy without anion corrections: -1.207 eV/atom


Record 2
Below is crystalline Lu2InTc at its relaxed geometry, with properties calculated at the GGA-PBE level.

Unit cell a=3.4961 b=3.4961 c=7.2722 alpha=90.00 beta=90.00 gamma=90.00
Closest atoms and distances in Å follow each position.
Positions (direct):
Lu 0.0000 0.0000 0.7855  4 Tc 2.92, 1 Lu 3.12, 4 In 3.23
Lu 0.0000 0.0000 0.2145  4 Tc 2.92, 1 Lu 3.12, 4 In 3.23
Tc 0.5000 0.5000 0.0000  8 Lu 2.92
In 0.5000 0.5000 0.5000  8 Lu 3.23, 4 In 3.50

Calculated values
- Uncorrected energy: -5.849 eV/atom
- Energy relative to the elements: -0.3127 eV/atom
- Volume: 22.222 A^3/atom


Record 3
Below is crystalline AcMgPdPt at its relaxed geometry, with properties calculated at the GGA-PBE level.

Unit cell a=4.5526 b=4.5529 c=5.7989 alpha=113.17 beta=90.00 gamma=120.00
Closest atoms and distances in Å follow each position.
Positions (direct):
Ac 0.6152 0.2305 0.4876  4 Pt 3.23-3.29, 4 Pd 3.25-3.26
Mg 0.1184 0.2368 0.9974  3 Pt 2.71, 3 Pd 2.72
Pd 0.4053 0.8106 0.8584  3 Mg 2.72, 3 Pt 2.97
Pt 0.8273 0.6547 0.1240  3 Mg 2.71, 3 Pd 2.97

Calculated values
- Uncorrected energy: -5.131 eV/atom
- Energy relative to the elements: -0.8970 eV/atom
- Volume: 23.184 A^3/atom


Record 4
Below is crystalline BaFe2Co at its relaxed geometry, with properties calculated at the GGA-PBE level.

Unit cell a=4.6377 b=4.6377 c=4.6377 alpha=60.00 beta=60.00 gamma=60.00
Closest atoms and distances in Å follow each position.
Positions (direct):
Co 0.0000 0.0000 0.0000  8 Fe 2.84
Ba 0.5000 0.5000 0.5000  8 Fe 2.84
Fe 0.2500 0.2500 0.2500  4 Ba 2.84, 4 Co 2.84
Fe 0.7500 0.7500 0.7500  4 Ba 2.84, 4 Co 2.84

Calculated values
- Uncorrected energy: -5.397 eV/atom
- Energy relative to the elements: 1.0911 eV/atom
- Volume: 17.633 A^3/atom


Record 5
Below is crystalline KSrIO6 at its relaxed geometry, with properties calculated at the GGA-PBE level.

Unit cell a=5.9771 b=5.8125 c=4.5066 alpha=91.85 beta=89.23 gamma=58.22
Closest atoms and distances in Å follow each position.
Positions (direct):
K 0.6634 0.6758 0.7388  8 O 2.74-2.97
Sr 0.9946 0.9856 0.1254  7 O 2.60-2.81
I 0.3356 0.3364 0.4524  6 O 1.87-1.92
O 0.0552 0.3968 0.2012  1 I 1.92
O 0.1764 0.1917 0.6922  1 I 1.91
O 0.6222 0.2274 0.7091  1 I 1.91
O 0.1289 0.6884 0.6260  1 I 1.88
O 0.4577 0.5018 0.1895  1 I 1.91
O 0.5658 0.9961 0.2652  1 I 1.87

Calculated values
- Uncorrected energy: -4.795 eV/atom
- Volume: 14.771 A^3/atom
- Formation energy without anion corrections: -1.009 eV/atom


Record 6
Below is crystalline Ac2PaP3 at its relaxed geometry, with properties calculated at the GGA-PBE level.

Unit cell a=7.3636 b=7.3636 c=7.4293 alpha=99.53 beta=99.53 gamma=119.96
Closest atoms and distances in Å follow each position.
Positions (direct):
Ac 0.8334 0.1666 0.5000  6 P 3.02-3.19
Ac 0.3333 0.6667 0.0000  6 P 3.04-3.05
Ac 0.1707 0.8293 0.5000  6 P 3.03-3.20
Ac 0.4960 0.5040 0.5000  6 P 3.03-3.20
Pa 0.0007 0.9993 0.0000  6 P 2.85
Pa 0.6659 0.3341 0.0000  6 P 2.85
P 0.6148 0.9481 0.7790  2 Pa 2.85, 4 Ac 3.02-3.17
P 0.0519 0.3852 0.2210  2 Pa 2.85, 4 Ac 3.02-3.17
P 0.9031 0.5913 0.7755  2 Pa 2.85, 3 Ac 3.03-3.19
P 0.2580 0.2364 0.7755  2 Pa 2.85, 3 Ac 3.03-3.19
P 0.4087 0.0969 0.2245  2 Pa 2.85, 3 Ac 3.03-3.19
P 0.7636 0.7420 0.2245  2 Pa 2.85, 3 Ac 3.03-3.19

Calculated values
- Uncorrected energy: -7.021 eV/atom
- Energy relative to the elements: -1.3638 eV/atom
- Volume: 27.446 A^3/atom


Record 7
Below is crystalline Rb2MgMnI6 at its relaxed geometry, with properties calculated at the GGA-PBE level.

Unit cell a=8.2672 b=8.2672 c=8.2679 alpha=60.00 beta=60.00 gamma=90.00
Closest atoms and distances in Å follow each position.
Positions (direct):
I 0.2482 0.2482 0.5036  1 Mn 2.90, 1 Mg 2.94
I 0.7518 0.7518 0.4964  1 Mn 2.90, 1 Mg 2.94
I 0.2481 0.2481 0.0000  1 Mn 2.90, 1 Mg 2.95
I 0.7519 0.7519 0.0000  1 Mn 2.90, 1 Mg 2.95
I 0.7519 0.2481 0.0000  1 Mn 2.90, 1 Mg 2.95
I 0.2481 0.7519 0.0000  1 Mn 2.90, 1 Mg 2.95
Mg 0.5000 0.5000 0.0000  6 I 2.94-2.95
Mn 0.0000 0.0000 0.0000  6 I 2.90
Rb 0.7500 0.2500 0.5000  12 I 4.13
Rb 0.2500 0.7500 0.5000  12 I 4.13

Calculated values
- Uncorrected energy: -3.179 eV/atom
- Volume: 39.961 A^3/atom
- Formation energy without anion corrections: -0.979 eV/atom


Record 8
Below is crystalline Ag5Te2PS4 at its relaxed geometry, with properties calculated at the GGA-PBE level.

Unit cell a=6.0445 b=6.4679 c=8.1739 alpha=90.00 beta=90.00 gamma=117.86
Closest atoms and distances in Å follow each position.
Positions (direct):
Ag 0.0648 0.3792 0.2054  2 S 2.56-2.61, 1 Te 2.85
Ag 0.3839 0.0000 0.5000  2 Te 2.83, 2 S 2.86
Ag 0.0648 0.3792 0.7946  2 S 2.56-2.61, 1 Te 2.85
Ag 0.6856 0.6208 0.7946  2 S 2.56-2.61, 1 Te 2.85
Ag 0.6856 0.6208 0.2054  2 S 2.56-2.61, 1 Te 2.85
Te 0.9181 0.5871 0.5000  5 Ag 2.83-3.08
Te 0.3310 0.4129 0.5000  5 Ag 2.83-3.08
P 0.4594 0.0000 0.0000  4 S 2.08-2.09
S 0.6503 0.0000 0.2114  1 P 2.08
S 0.6503 0.0000 0.7886  1 P 2.08
S 0.4033 0.2947 0.0000  1 P 2.09
S 0.1085 0.7053 0.0000  1 P 2.09

Calculated values
- Uncorrected energy: -3.615 eV/atom
- Volume: 23.544 A^3/atom
- Formation energy without anion corrections: -0.077 eV/atom


Record 9
Below is crystalline NaTcIr2C at its relaxed geometry, with properties calculated at the GGA-PBE level.

Unit cell a=4.5135 b=4.5084 c=4.5135 alpha=90.00 beta=90.00 gamma=90.00
Closest atoms and distances in Å follow each position.
Positions (direct):
Na 0.0000 0.0000 0.0000  2 Tc 2.25, 4 Ir 2.26
C 0.5000 0.5000 0.5000  8 Ir 3.19, 4 Tc 3.19
Ir 0.0000 0.0000 0.5000  2 Na 2.26
Ir 0.5000 0.0000 0.0000  2 Na 2.26
Tc 0.0000 0.5000 0.0000  2 Na 2.25

Calculated values
- Uncorrected energy: -4.056 eV/atom
- Energy relative to the elements: 3.6699 eV/atom
- Volume: 18.369 A^3/atom


Record 10
Below is crystalline TcHg2Te at its relaxed geometry, with properties calculated at the GGA-PBE level.

Unit cell a=3.0739 b=3.0739 c=10.2807 alpha=90.00 beta=90.00 gamma=90.00
Closest atoms and distances in Å follow each position.
Positions (direct):
Hg 0.0000 0.0000 0.0638  4 Tc 2.90, 4 Hg 3.07
Hg 0.0000 0.0000 0.4362  4 Tc 2.90, 4 Hg 3.07
Tc 0.5000 0.5000 0.2500  8 Hg 2.90, 4 Tc 3.07
Te 0.5000 0.5000 0.7500  4 Te 3.07

Calculated values
- Uncorrected energy: -2.935 eV/atom
- Volume: 24.285 A^3/atom
- Formation energy without anion corrections: 0.593 eV/atom


Record 11
Below is crystalline YBeB at its relaxed geometry, with properties calculated at the GGA-PBE level.

Unit cell a=5.1698 b=3.6081 c=6.0358 alpha=123.83 beta=84.61 gamma=75.79
Closest atoms and distances in Å follow each position.
Positions (direct):
Y 0.8478 0.3232 0.8574  3 B 2.65-2.78, 3 Be 2.79-2.94
Y 0.4219 0.2284 0.4723  3 B 2.65-2.78, 3 Be 2.79-2.94
Be 0.3374 0.1920 0.0086  3 B 1.89-1.96
Be 0.9322 0.3594 0.3210  3 B 1.89-1.96
B 0.2202 0.7408 0.0188  1 B 1.75, 2 Be 1.89-1.90
B 0.0497 0.8106 0.3110  1 B 1.75, 2 Be 1.89-1.90

Calculated values
- Uncorrected energy: -5.911 eV/atom
- Energy relative to the elements: -0.2889 eV/atom
- Volume: 14.477 A^3/atom


Record 12
Below is crystalline Na2GaAuF6 at its relaxed geometry, with properties calculated at the GGA-PBE level.

Unit cell a=5.7017 b=6.0273 c=6.5011 alpha=59.54 beta=57.34 gamma=62.07
Closest atoms and distances in Å follow each position.
Positions (direct):
Na 0.5064 0.5540 0.3692  5 F 2.32-2.38
Na 0.9811 0.0081 0.0314  5 F 2.29-2.36
Ga 0.3299 0.3231 0.0119  6 F 1.88-2.10
Au 0.6541 0.8440 0.7376  2 F 2.05-2.06
F 0.5338 0.2928 0.1793  1 Ga 1.88
F 0.2247 0.9976 0.2379  1 Ga 1.90
F 0.9969 0.5679 0.1583  1 Ga 1.88
F 0.5124 0.6178 0.6981  1 Ga 2.04, 1 Au 2.05
F 0.7262 0.0982 0.8080  1 Au 2.06, 1 Ga 2.10, 1 Na 2.29
F 0.1962 0.3580 0.7835  1 Ga 1.89

Calculated values
- Uncorrected energy: -4.267 eV/atom
- Volume: 15.618 A^3/atom
- Formation energy without anion corrections: -2.250 eV/atom


What did we get for mass density? Answer: 4.64; 10.51; 9.90; 7.25; 4.37; 7.84; 4.20; 5.61; 9.36; 10.71; 4.16; 4.54 g cm⁻³, in the order shown.